First-principles (PBE) data for a geometry-optimized EuTh2Pb structure, as listed in the Alexandria database.

```
EuTh2Pb
1.0
1.740 1.004 12.637
-1.740 1.004 12.637
0.000 -2.009 12.637
Eu Th Pb
1 2 1
Direct
0.000 0.000 0.000
0.091 0.091 0.091
0.909 0.909 0.909
0.500 0.500 0.500
```

* distance to the lowest polymorph of the same formula: 268 meV/atom
* space group: No. 166
* formation enthalpy at 0 K: 0.589 eV per formula unit

First-principles (PBE) data for a geometry-optimized EuTh2Pb structure, as listed in the Alexandria database.

```
EuTh2Pb
1.0
4.924 0.000 0.000
0.000 4.924 0.000
0.000 0.000 5.111
Eu Th Pb
1 2 1
Direct
0.000 0.000 0.000
0.000 0.500 0.500
0.500 0.000 0.500
0.500 0.500 0.000
```

* distance to the lowest polymorph of the same formula: 0 meV/atom
* space group: No. 123
* formation enthalpy at 0 K: -0.485 eV per formula unit

First-principles (PBE) data for a geometry-optimized EuThPb structure, as listed in the Alexandria database.

```
EuThPb
1.0
5.585 0.000 0.000
-2.793 4.837 0.000
0.000 0.000 3.378
Eu Th Pb
1 1 1
Direct
0.000 0.000 0.000
0.667 0.333 0.995
0.333 0.667 0.499
```

* distance to the lowest polymorph of the same formula: 209 meV/atom
* space group: No. 156
* formation enthalpy at 0 K: 0.223 eV per formula unit

First-principles (PBE) data for a geometry-optimized EuThPb structure, as listed in the Alexandria database.

```
EuThPb
1.0
-2.125 2.125 5.144
2.125 -2.125 5.144
2.125 2.125 -5.144
Eu Th Pb
1 1 1
Direct
0.000 0.000 0.000
0.685 0.685 0.000
0.342 0.342 0.000
```

* distance to the lowest polymorph of the same formula: 0 meV/atom
* space group: No. 107
* formation enthalpy at 0 K: -0.406 eV per formula unit

Look up the formation enthalpy at 0 K of the second one. -0.485 eV per formula unit

distance to the lowest polymorph of the same formula of number 2 (EuTh2Pb)? 0 meV/atom